(1)
{"formula": "ZrV", "functional": "PBE-GGA", "state": "relaxed", "dos_ef_per_ev_cell": 14.04, "total_energy_ev_per_atom": -8.63, "vol_a3_per_atom": 18.743, "crystal_system": "tetragonal", "lattice_angstrom": [[-4.9424, 4.9424, 1.5346], [4.9424, -4.9424, 1.5346], [4.9424, 4.9424, -1.5346]], "species": ["Zr", "Zr", "Zr", "Zr", "V", "V", "V", "V"], "frac_coords": [[0.1551, 0.1551, 0.3102], [0.1551, 0.8449, 0.0000], [0.8449, 0.1551, 0.0000], [0.8449, 0.8449, 0.6898], [0.1442, 0.5000, 0.6442], [0.5000, 0.1442, 0.6442], [0.5000, 0.8558, 0.3558], [0.8558, 0.5000, 0.3558]]}



(2)
{"formula": "ZrV", "functional": "PBE-GGA", "state": "relaxed", "dos_ef_per_ev_cell": 5.42, "total_energy_ev_per_atom": -8.65, "vol_a3_per_atom": 18.444, "crystal_system": "triclinic", "lattice_angstrom": [[3.0421, 0.0000, 0.0000], [-0.0323, 4.4005, 0.0000], [-1.1635, -0.8454, 5.5111]], "species": ["Zr", "Zr", "V", "V"], "frac_coords": [[0.1361, 0.2224, 0.3391], [0.8639, 0.7776, 0.6609], [0.4350, 0.7061, 0.1130], [0.5650, 0.2939, 0.8870]]}



(3)
{"formula": "ZrV2", "functional": "PBE-GGA", "state": "relaxed", "dos_ef_per_ev_cell": 7.95, "total_energy_ev_per_atom": -8.74, "vol_a3_per_atom": 16.789, "crystal_system": "triclinic", "lattice_angstrom": [[2.9562, 0.0000, 0.0000], [1.0388, 5.5190, 0.0000], [1.2881, 2.0610, 6.1743]], "species": ["Zr", "Zr", "V", "V", "V", "V"], "frac_coords": [[0.0876, 0.0895, 0.1841], [0.9124, 0.9105, 0.8159], [0.2962, 0.2943, 0.4910], [0.4459, 0.4310, 0.8150], [0.5541, 0.5690, 0.1850], [0.7038, 0.7057, 0.5090]]}



(4)
{"formula": "ZrV", "functional": "PBE-GGA", "state": "relaxed", "dos_ef_per_ev_cell": 12.02, "total_energy_ev_per_atom": -8.37, "vol_a3_per_atom": 19.085, "crystal_system": "orthorhombic", "lattice_angstrom": [[0.0000, 4.3100, 5.1724], [3.4243, 0.0000, 5.1724], [3.4243, 4.3100, 0.0000]], "species": ["Zr", "Zr", "Zr", "Zr", "V", "V", "V", "V"], "frac_coords": [[0.0611, 0.6889, 0.0611], [0.3111, 0.9389, 0.3111], [0.6889, 0.0611, 0.6889], [0.9389, 0.3111, 0.9389], [0.2195, 0.5305, 0.5305], [0.4695, 0.7805, 0.7805], [0.5305, 0.2195, 0.2195], [0.7805, 0.4695, 0.4695]]}



(5)
{"formula": "ZrV", "functional": "PBE-GGA", "state": "relaxed", "dos_ef_per_ev_cell": 4.80, "total_energy_ev_per_atom": -8.60, "vol_a3_per_atom": 18.877, "crystal_system": "monoclinic", "lattice_angstrom": [[4.6700, 0.0000, 0.0000], [0.0000, 3.2437, 0.0000], [-2.3026, 0.0000, 4.9848]], "species": ["Zr", "Zr", "V", "V"], "frac_coords": [[0.1328, 0.2500, 0.2664], [0.8672, 0.7500, 0.7336], [0.4144, 0.2500, 0.8301], [0.5856, 0.7500, 0.1699]]}



(6)
{"formula": "ZrV2", "functional": "PBE-GGA", "state": "relaxed", "dos_ef_per_ev_cell": 17.67, "total_energy_ev_per_atom": -8.87, "vol_a3_per_atom": 16.568, "crystal_system": "hexagonal", "lattice_angstrom": [[5.2450, 0.0000, 0.0000], [-2.6225, 4.5423, 0.0000], [0.0000, 0.0000, 8.3451]], "species": ["Zr", "Zr", "Zr", "Zr", "V", "V", "V", "V", "V", "V", "V", "V"], "frac_coords": [[0.3333, 0.6667, 0.0635], [0.3333, 0.6667, 0.4365], [0.6667, 0.3333, 0.5635], [0.6667, 0.3333, 0.9365], [0.0000, 0.0000, 0.0000], [0.0000, 0.0000, 0.5000], [0.1692, 0.3384, 0.7500], [0.1692, 0.8308, 0.7500], [0.3384, 0.1692, 0.2500], [0.6616, 0.8308, 0.7500], [0.8308, 0.1692, 0.2500], [0.8308, 0.6616, 0.2500]]}



(7)
{"formula": "ZrV", "functional": "PBE-GGA", "state": "relaxed", "dos_ef_per_ev_cell": 4.45, "total_energy_ev_per_atom": -6.58, "vol_a3_per_atom": 28.919, "crystal_system": "cubic", "lattice_angstrom": [[0.0000, 3.0695, 3.0695], [3.0695, 0.0000, 3.0695], [3.0695, 3.0695, 0.0000]], "species": ["Zr", "V"], "frac_coords": [[0.0000, 0.0000, 0.0000], [0.2500, 0.2500, 0.2500]]}



(8)
{"formula": "ZrV", "functional": "PBE-GGA", "state": "relaxed", "dos_ef_per_ev_cell": 2.98, "total_energy_ev_per_atom": -8.60, "vol_a3_per_atom": 18.125, "crystal_system": "trigonal", "lattice_angstrom": [[2.4552, 1.4175, 1.7360], [-2.4552, 1.4175, 1.7360], [0.0000, -2.8351, 1.7360]], "species": ["Zr", "V"], "frac_coords": [[0.0000, 0.0000, 0.0000], [0.5000, 0.5000, 0.5000]]}



(9)
{"formula": "ZrV", "functional": "PBE-GGA", "state": "relaxed", "dos_ef_per_ev_cell": 11.20, "total_energy_ev_per_atom": -8.38, "vol_a3_per_atom": 20.594, "crystal_system": "tetragonal", "lattice_angstrom": [[-4.8851, 4.8851, 1.7260], [4.8851, -4.8851, 1.7260], [4.8851, 4.8851, -1.7260]], "species": ["Zr", "Zr", "Zr", "Zr", "V", "V", "V", "V"], "frac_coords": [[0.0000, 0.3106, 0.3106], [0.0000, 0.6894, 0.6894], [0.3106, 0.0000, 0.3106], [0.6894, 0.0000, 0.6894], [0.3143, 0.3143, 0.6286], [0.3143, 0.6857, 0.0000], [0.6857, 0.3143, 0.0000], [0.6857, 0.6857, 0.3714]]}



(10)
{"formula": "ZrV", "functional": "PBE-GGA", "state": "relaxed", "dos_ef_per_ev_cell": 5.00, "total_energy_ev_per_atom": -7.26, "vol_a3_per_atom": 25.929, "crystal_system": "hexagonal", "lattice_angstrom": [[4.7060, 0.0000, 0.0000], [-2.3530, 4.0755, 0.0000], [0.0000, 0.0000, 5.4076]], "species": ["Zr", "Zr", "V", "V"], "frac_coords": [[0.3333, 0.6667, 0.2500], [0.6667, 0.3333, 0.7500], [0.3333, 0.6667, 0.7500], [0.6667, 0.3333, 0.2500]]}



(11)
{"formula": "Zr3V", "functional": "PBE-GGA", "state": "relaxed", "dos_ef_per_ev_cell": 9.77, "total_energy_ev_per_atom": -8.51, "vol_a3_per_atom": 21.259, "crystal_system": "hexagonal", "polymorph_energy_ev_per_fu": 0.22, "lattice_angstrom": [[6.3318, 0.0000, 0.0000], [-3.1659, 5.4835, 0.0000], [0.0000, 0.0000, 4.8985]], "species": ["Zr", "Zr", "Zr", "Zr", "Zr", "Zr", "V", "V"], "frac_coords": [[0.1731, 0.3462, 0.2500], [0.1731, 0.8269, 0.2500], [0.3462, 0.1731, 0.7500], [0.6538, 0.8269, 0.2500], [0.8269, 0.1731, 0.7500], [0.8269, 0.6538, 0.7500], [0.3333, 0.6667, 0.7500], [0.6667, 0.3333, 0.2500]]}



(12)
{"formula": "W", "functional": "PBE-GGA", "state": "relaxed", "dos_ef_per_ev_cell": 8.58, "total_energy_ev_per_atom": -12.14, "vol_a3_per_atom": 17.229, "crystal_system": "orthorhombic", "polymorph_energy_ev_per_fu": 0.82, "lattice_angstrom": [[2.6380, 0.0000, 0.0000], [0.0000, 10.5826, 0.0000], [0.0000, 0.0000, 7.4059]], "species": ["W", "W", "W", "W", "W", "W", "W", "W", "W", "W", "W", "W"], "frac_coords": [[0.2500, 0.0027, 0.1674], [0.2500, 0.2500, 0.2191], [0.2500, 0.4973, 0.1674], [0.2500, 0.6187, 0.4902], [0.2500, 0.7500, 0.1380], [0.2500, 0.8813, 0.4902], [0.7500, 0.1187, 0.5098], [0.7500, 0.2500, 0.8620], [0.7500, 0.3813, 0.5098], [0.7500, 0.5027, 0.8326], [0.7500, 0.7500, 0.7809], [0.7500, 0.9973, 0.8326]]}



(13)
{"formula": "W", "functional": "PBE-GGA", "state": "relaxed", "dos_ef_per_ev_cell": 1.57, "total_energy_ev_per_atom": -12.23, "vol_a3_per_atom": 17.010, "crystal_system": "orthorhombic", "polymorph_energy_ev_per_fu": 0.72, "lattice_angstrom": [[0.0000, 2.2169, 4.9861], [1.5389, 0.0000, 4.9861], [1.5389, 2.2169, 0.0000]], "species": ["W", "W"], "frac_coords": [[0.1332, 0.1332, 0.8668], [0.8668, 0.8668, 0.1332]]}



(14)
{"formula": "W", "functional": "PBE-GGA", "state": "relaxed", "dos_ef_per_ev_cell": 0.52, "total_energy_ev_per_atom": -11.87, "vol_a3_per_atom": 17.589, "crystal_system": "orthorhombic", "polymorph_energy_ev_per_fu": 1.08, "lattice_angstrom": [[1.5015, -2.2489, 0.0000], [1.5015, 2.2489, 0.0000], [0.0000, 0.0000, 2.6045]], "species": ["W"], "frac_coords": [[0.0000, 0.0000, 0.0000]]}



(15)
{"formula": "W", "functional": "PBE-GGA", "state": "relaxed", "dos_ef_per_ev_cell": 9.68, "total_energy_ev_per_atom": -12.16, "vol_a3_per_atom": 17.834, "crystal_system": "hexagonal", "polymorph_energy_ev_per_fu": 0.80, "lattice_angstrom": [[7.2991, 0.0000, 0.0000], [-3.6496, 6.3212, 0.0000], [0.0000, 0.0000, 4.6383]], "species": ["W", "W", "W", "W", "W", "W", "W", "W", "W", "W", "W", "W"], "frac_coords": [[0.0908, 0.2492, 0.2500], [0.0963, 0.5005, 0.7500], [0.1585, 0.9092, 0.2500], [0.2492, 0.1585, 0.7500], [0.4042, 0.9037, 0.7500], [0.4995, 0.5958, 0.7500], [0.5005, 0.4042, 0.2500], [0.5958, 0.0963, 0.2500], [0.7508, 0.8415, 0.2500], [0.8415, 0.0908, 0.7500], [0.9037, 0.4995, 0.2500], [0.9092, 0.7508, 0.7500]]}



(16)
{"formula": "W", "functional": "PBE-GGA", "state": "relaxed", "dos_ef_per_ev_cell": 5.98, "total_energy_ev_per_atom": -10.12, "vol_a3_per_atom": 30.460, "crystal_system": "cubic", "polymorph_energy_ev_per_fu": 2.83, "lattice_angstrom": [[-3.5750, 3.5750, 3.5750], [3.5750, -3.5750, 3.5750], [3.5750, 3.5750, -3.5750]], "species": ["W", "W", "W", "W", "W", "W"], "frac_coords": [[0.2500, 0.5000, 0.7500], [0.2500, 0.7500, 0.5000], [0.5000, 0.2500, 0.7500], [0.5000, 0.7500, 0.2500], [0.7500, 0.2500, 0.5000], [0.7500, 0.5000, 0.2500]]}



(17)
{"formula": "W", "functional": "PBE-GGA", "state": "relaxed", "dos_ef_per_ev_cell": 3.05, "total_energy_ev_per_atom": -11.61, "vol_a3_per_atom": 18.111, "crystal_system": "tetragonal", "polymorph_energy_ev_per_fu": 1.34, "lattice_angstrom": [[5.2397, 0.0000, 0.0000], [0.0000, 5.2397, 0.0000], [0.0000, 0.0000, 2.6387]], "species": ["W", "W", "W", "W"], "frac_coords": [[0.2037, 0.2963, 0.0000], [0.2963, 0.7963, 0.0000], [0.7037, 0.2037, 0.0000], [0.7963, 0.7037, 0.0000]]}



(18)
{"formula": "W", "functional": "PBE-GGA", "state": "relaxed", "dos_ef_per_ev_cell": 1.28, "total_energy_ev_per_atom": -11.51, "vol_a3_per_atom": 18.415, "crystal_system": "cubic", "polymorph_energy_ev_per_fu": 1.44, "lattice_angstrom": [[2.6408, 0.0000, 0.0000], [0.0000, 2.6408, 0.0000], [0.0000, 0.0000, 2.6408]], "species": ["W"], "frac_coords": [[0.0000, 0.0000, 0.0000]]}



(19)
{"formula": "W", "functional": "PBE-GGA", "state": "relaxed", "dos_ef_per_ev_cell": 4.45, "total_energy_ev_per_atom": -12.17, "vol_a3_per_atom": 17.100, "crystal_system": "tetragonal", "polymorph_energy_ev_per_fu": 0.78, "lattice_angstrom": [[-1.3246, 1.3246, 9.7454], [1.3246, -1.3246, 9.7454], [1.3246, 1.3246, -9.7454]], "species": ["W", "W", "W", "W"], "frac_coords": [[0.0646, 0.3146, 0.7500], [0.3146, 0.0646, 0.2500], [0.6854, 0.9354, 0.7500], [0.9354, 0.6854, 0.2500]]}



(20)
{"formula": "W", "functional": "PBE-GGA", "state": "relaxed", "dos_ef_per_ev_cell": 6.64, "total_energy_ev_per_atom": -12.49, "vol_a3_per_atom": 17.349, "crystal_system": "tetragonal", "polymorph_energy_ev_per_fu": 0.46, "lattice_angstrom": [[-4.7080, 4.7080, 1.5655], [4.7080, -4.7080, 1.5655], [4.7080, 4.7080, -1.5655]], "species": ["W", "W", "W", "W", "W", "W", "W", "W"], "frac_coords": [[0.0000, 0.3306, 0.3306], [0.0000, 0.6694, 0.6694], [0.3306, 0.0000, 0.3306], [0.3364, 0.3364, 0.6728], [0.3364, 0.6636, 0.0000], [0.6636, 0.3364, 0.0000], [0.6636, 0.6636, 0.3272], [0.6694, 0.0000, 0.6694]]}



(21)
{"formula": "W", "functional": "PBE-GGA", "state": "relaxed", "dos_ef_per_ev_cell": 17.80, "total_energy_ev_per_atom": -11.78, "vol_a3_per_atom": 18.026, "crystal_system": "monoclinic", "polymorph_energy_ev_per_fu": 1.17, "lattice_angstrom": [[9.4378, 0.0000, 0.0000], [0.0000, 2.6141, 0.0000], [-0.8946, 0.0000, 18.2653]], "species": ["W", "W", "W", "W", "W", "W", "W", "W", "W", "W", "W", "W", "W", "W", "W", "W", "W", "W", "W", "W", "W", "W", "W", "W", "W"], "frac_coords": [[0.0000, 0.0000, 0.0000], [0.0089, 0.0000, 0.4273], [0.0879, 0.0000, 0.8444], [0.0985, 0.0000, 0.2730], [0.1758, 0.0000, 0.6889], [0.1854, 0.0000, 0.1170], [0.2621, 0.0000, 0.5349], [0.2718, 0.0000, 0.9605], [0.2837, 0.0000, 0.3917], [0.3605, 0.0000, 0.8038], [0.3681, 0.0000, 0.2350], [0.4482, 0.0000, 0.6476], [0.4573, 0.0000, 0.0789], [0.5427, 0.0000, 0.9211], [0.5518, 0.0000, 0.3524], [0.6319, 0.0000, 0.7650], [0.6395, 0.0000, 0.1962], [0.7163, 0.0000, 0.6083], [0.7282, 0.0000, 0.0395], [0.7379, 0.0000, 0.4651], [0.8146, 0.0000, 0.8830], [0.8242, 0.0000, 0.3111], [0.9015, 0.0000, 0.7270], [0.9121, 0.0000, 0.1556], [0.9911, 0.0000, 0.5727]]}



(22)
{"formula": "W", "functional": "PBE-GGA", "state": "relaxed", "dos_ef_per_ev_cell": 2.67, "total_energy_ev_per_atom": -11.31, "vol_a3_per_atom": 20.451, "crystal_system": "hexagonal", "polymorph_energy_ev_per_fu": 1.64, "lattice_angstrom": [[4.3578, 0.0000, 0.0000], [-2.1789, 3.7739, 0.0000], [0.0000, 0.0000, 4.9742]], "species": ["W", "W", "W", "W"], "frac_coords": [[0.0000, 0.0000, 0.2500], [0.0000, 0.0000, 0.7500], [0.3333, 0.6667, 0.2500], [0.6667, 0.3333, 0.7500]]}